A plane-wave DFT calculation with GGA-PBEsol was carried out for a geometry-optimized FeSiSe2 structure.

Output
Energy, eV/cell: -21.31
Spin magnetization, Bohr magnetons per cell: 2.27
Crystal system: tetragonal
Raw formation energy, eV per atom: 0.276
DOS at the Fermi energy, states/eV/f.u.: 2.9

abc: 3.0739 3.0739 6.6428
angles: 90.00 90.00 90.00
Space group P4/mmm (No. 123)
Asymmetric unit:
Fe (0.0000, 0.0000, 0.0000) (multiplicity 1)
Si (0.0000, 0.0000, 0.5000) (multiplicity 1)
Se (0.5000, 0.5000, 0.2218) (multiplicity 2)

---

A plane-wave DFT calculation with GGA-PBEsol was carried out for a geometry-optimized MgRuC2 structure.

Output
ΔH_f (0 K), eV/atom: 0.70
Energy, eV/cell: -113.51
Spin magnetization, Bohr magnetons per cell: 0.00
Crystal system: tetragonal
DOS at the Fermi energy, states/eV/f.u.: 1.9

abc: 4.8161 4.8161 9.1857
angles: 90.00 90.00 90.00
Space group I-42d (No. 122)
Asymmetric unit:
Mg (0.0000, 0.0000, 0.0000) (multiplicity 4)
Ru (0.0000, 0.0000, 0.5000) (multiplicity 4)
C (0.1908, 0.2500, 0.6250) (multiplicity 8)

---

A plane-wave DFT calculation with GGA-PBEsol was carried out for a geometry-optimized LiHfTe3 structure.

Output
Energy, eV/cell: -21.63
Spin magnetization, Bohr magnetons per cell: 0.00
Crystal system: cubic
Raw formation energy, eV per atom: 0.284
DOS at the Fermi energy, states/eV/f.u.: 5.0

abc: 4.9390 4.9390 4.9390
angles: 90.00 90.00 90.00
Space group Pm-3m (No. 221)
Asymmetric unit:
Li (0.0000, 0.0000, 0.0000) (multiplicity 1)
Hf (0.5000, 0.5000, 0.5000) (multiplicity 1)
Te (0.0000, 0.0000, 0.5000) (multiplicity 3)

---

A plane-wave DFT calculation with GGA-PBEsol was carried out for a geometry-optimized CaScRe2Ni structure.

Output
ΔH_f (0 K), eV/atom: 1.06
Energy, eV/cell: -36.25
Spin magnetization, Bohr magnetons per cell: 0.00
Crystal system: tetragonal
DOS at the Fermi energy, states/eV/f.u.: 6.9

abc: 4.5336 4.5336 4.7228
angles: 90.00 90.00 90.00
Space group P4/mmm (No. 123)
Asymmetric unit:
Ca (0.0000, 0.0000, 0.0000) (multiplicity 1)
Sc (0.5000, 0.5000, 0.0000) (multiplicity 1)
Re (0.0000, 0.5000, 0.5000) (multiplicity 2)
Ni (0.0000, 0.0000, 0.5000) (multiplicity 1)

---

A plane-wave DFT calculation with GGA-PBEsol was carried out for a geometry-optimized AlTeF2 structure.

Output
Energy, eV/cell: -57.53
Spin magnetization, Bohr magnetons per cell: 0.00
Crystal system: cubic
Raw formation energy, eV per atom: -0.727
DOS at the Fermi energy, states/eV/f.u.: 3.6

abc: 6.2692 6.2692 6.2692
angles: 90.00 90.00 90.00
Space group Fm-3m (No. 225)
Asymmetric unit:
Al (0.0000, 0.0000, 0.0000) (multiplicity 4)
Te (0.0000, 0.0000, 0.5000) (multiplicity 4)
F (0.2500, 0.2500, 0.2500) (multiplicity 8)

---

A plane-wave DFT calculation with GGA-PBEsol was carried out for a geometry-optimized ReC2 structure.

Output
E above lowest polymorph, meV per atom: 927
ΔH_f (0 K), eV/atom: 1.56
Energy, eV/cell: -27.94
Spin magnetization, Bohr magnetons per cell: 0.00
Crystal system: tetragonal
DOS at the Fermi energy, states/eV/f.u.: 1.3

abc: 2.9569 2.9569 3.9750
angles: 90.00 90.00 90.00
Space group P4/mmm (No. 123)
Asymmetric unit:
Re (0.0000, 0.0000, 0.0000) (multiplicity 1)
C (0.0000, 0.0000, 0.5000) (multiplicity 1)
C (0.5000, 0.5000, 0.0000) (multiplicity 1)

---

A plane-wave DFT calculation with GGA-PBEsol was carried out for a geometry-optimized CuPIr structure.

Output
E above lowest polymorph, meV per atom: 132
ΔH_f (0 K), eV/atom: -0.04
Energy, eV/cell: -40.15
Spin magnetization, Bohr magnetons per cell: 0.00
Crystal system: tetragonal
DOS at the Fermi energy, states/eV/f.u.: 1.6

abc: 3.0272 3.0272 8.4877
angles: 90.00 90.00 90.00
Space group I4mm (No. 107)
Asymmetric unit:
Cu (0.0000, 0.0000, 0.0000) (multiplicity 2)
P (0.0000, 0.0000, 0.3242) (multiplicity 2)
Ir (0.0000, 0.0000, 0.6930) (multiplicity 2)

---

A plane-wave DFT calculation with GGA-PBEsol was carried out for a geometry-optimized Zn2Hg structure.

Output
ΔH_f (0 K), eV/atom: 0.13
Energy, eV/cell: -13.31
Spin magnetization, Bohr magnetons per cell: 0.00
Crystal system: tetragonal
DOS at the Fermi energy, states/eV/f.u.: 0.9

abc: 2.9283 2.9283 24.7813
angles: 90.00 90.00 90.00
Space group I4_1/amd (No. 141, origin choice 2)
Asymmetric unit:
Zn (0.0000, 0.2500, 0.2919) (multiplicity 8)
Hg (0.0000, 0.2500, 0.8750) (multiplicity 4)

---

Repeat the third record exactly.
A plane-wave DFT calculation with GGA-PBEsol was carried out for a geometry-optimized LiHfTe3 structure.

Output
Energy, eV/cell: -21.63
Spin magnetization, Bohr magnetons per cell: 0.00
Crystal system: cubic
Raw formation energy, eV per atom: 0.284
DOS at the Fermi energy, states/eV/f.u.: 5.0

abc: 4.9390 4.9390 4.9390
angles: 90.00 90.00 90.00
Space group Pm-3m (No. 221)
Asymmetric unit:
Li (0.0000, 0.0000, 0.0000) (multiplicity 1)
Hf (0.5000, 0.5000, 0.5000) (multiplicity 1)
Te (0.0000, 0.0000, 0.5000) (multiplicity 3)

---

Which formula does entry 5 have?
AlTeF2

---

energy of number 6 (ReC2)?
-27.94 eV/cell